This record from Alexandria describes a relaxed TiMnMo2 crystal. The functional is GGA-PBE.

Cell lengths 5.568, 5.568, 5.568 Å; angles 102.41, 102.41, 124.77 degrees
Sites, in units of the cell vectors:
Ti (0.000, 0.000, 0.000)
Ti (0.750, 0.250, 0.500)
Mn (0.250, 0.750, 0.500)
Mn (0.500, 0.500, 0.000)
Mo (0.160, 0.625, 0.035)
Mo (0.375, 0.410, 0.535)
Mo (0.590, 0.125, 0.965)
Mo (0.875, 0.840, 0.465)

Values from the calculation:
Excess energy over the best structure of this formula in the dataset (kJ/mol of atoms): 48.71
Calculated volume (Å³/atom): 15.71